A geometry-optimized BaHgPt2 structure, computed with GGA-PBEsol.

Structure (CIF):
```
data_BaHgPt2
_cell_length_a 4.6819
_cell_length_b 4.6819
_cell_length_c 16.1639
_cell_angle_alpha 90.00
_cell_angle_beta 90.00
_cell_angle_gamma 120.00
_space_group_name_H-M_alt 'R -3 m'
_space_group_IT_number 166
_space_group_name_Hall '-R 3 2"'
loop_
_atom_site_label
_atom_site_type_symbol
_atom_site_fract_x
_atom_site_fract_y
_atom_site_fract_z
Ba1 Ba 0.0000 0.0000 0.0000
Hg1 Hg 0.0000 0.0000 0.5000
Pt1 Pt 0.0000 0.0000 0.1881
```

Summary:
theoretical density	11.82	g/cm3
energy relative to the elements	-0.445	eV per atom
crystal system	trigonal